A geometry-optimized Ba2MnNi3F12 structure. Source: Alexandria, functional PBE+U.

Geometry as POSCAR:
```
Ba2MnNi3F12
1.0
3.604 2.081 5.800
-3.604 2.081 5.800
0.000 -4.162 5.800
Ba Mn Ni F
2 1 3 12
direct
0.122 0.122 0.122
0.878 0.878 0.878
0.500 0.500 0.500
0.000 0.500 0.500
0.500 0.000 0.500
0.500 0.500 0.000
0.149 0.599 0.599
0.165 0.165 0.594
0.165 0.594 0.165
0.401 0.401 0.851
0.401 0.851 0.401
0.406 0.835 0.835
0.594 0.165 0.165
0.599 0.149 0.599
0.599 0.599 0.149
0.835 0.406 0.835
0.835 0.835 0.406
0.851 0.401 0.401
```

Crystal system: trigonal
DFT total energy: -4.858 eV per atom
Volume: 14.50 Å³/atom